Record 1
Entry from Alexandria: Zr3Ti4Ga2 after structural relaxation (PBE).

## Properties
DOS at the Fermi energy: 13.2 states/eV/f.u.
formation enthalpy at 0 K: -94 meV/atom

Cell lengths 8.0830, 4.6981, 8.6895 Å; angles 90.00, 90.50, 90.00 degrees
Last column: nearest neighbours and their distance in Å.
Space group C2/m (No. 12)
Unique sites:
1 Zr 0.0000 0.0000 0.0000 (multiplicity 2)  8 Ti 2.84-2.86
2 Zr 0.1659 0.5000 0.4389 (multiplicity 4)  4 Ti 2.87-2.90, 3 Zr 2.89-2.91, 1 Ga 3.00
3 Ti 0.0014 0.0000 0.6727 (multiplicity 4)  4 Zr 2.84-2.87, 3 Ga 2.87-2.88, 1 Ti 3.00
4 Ti 0.1661 0.5000 0.1051 (multiplicity 4)  4 Ga 2.78-2.87, 4 Zr 2.85-2.90
5 Ga 0.1674 0.5000 0.7847 (multiplicity 4)  7 Ti 2.78-2.88, 1 Zr 3.00



Record 2
Entry from Alexandria: Tb4Cu5Ni2 after structural relaxation (PBE).

## Properties
DOS at the Fermi energy: 7.4 states/eV/f.u.
formation enthalpy at 0 K: -262 meV/atom

Cell lengths 6.8396, 3.9058, 7.7769 Å; angles 90.00, 90.08, 90.00 degrees
Last column: nearest neighbours and their distance in Å.
Space group P2/m (No. 10)
Unique sites:
1 Tb 0.2242 0.0000 0.1425 (multiplicity 2)  2 Ni 2.81, 8 Cu 2.87-3.14
2 Tb 0.2459 0.0000 0.6160 (multiplicity 2)  4 Ni 2.94-2.99, 6 Cu 2.96-3.11
3 Cu 0.1350 0.5000 0.8845 (multiplicity 2)  1 Ni 2.42, 2 Cu 2.58-2.65
4 Cu 0.4309 0.5000 0.3516 (multiplicity 2)  1 Ni 2.44, 1 Cu 2.49
5 Cu 0.5000 0.5000 0.0000 (multiplicity 1)  4 Cu 2.65-2.78, 4 Tb 2.93
6 Ni 0.0742 0.5000 0.3663 (multiplicity 2)  1 Ni 2.31, 2 Cu 2.42-2.44



Record 3
Entry from Alexandria: Tl2Sn3Bi2 after structural relaxation (PBE).

## Properties
DOS at the Fermi energy: 2.9 states/eV/f.u.
energy above the lowest structure with this stoichiometry: 0 meV/atom
formation enthalpy at 0 K: 27 meV/atom

Cell lengths 4.8304, 26.2771, 3.4070 Å; angles 90.00, 90.00, 90.00 degrees
Last column: nearest neighbours and their distance in Å.
Space group Cmmm (No. 65)
Unique sites:
1 Tl 0.0000 0.1350 0.0000 (multiplicity 4)  2 Tl 3.41, 5 Sn 3.55, 4 Bi 3.57
2 Sn 0.0000 0.0000 0.0000 (multiplicity 2)  10 Sn 3.35-3.41, 2 Tl 3.55
3 Sn 0.0000 0.4396 0.5000 (multiplicity 4)  7 Sn 3.17-3.41, 4 Tl 3.55
4 Bi 0.0000 0.2890 0.5000 (multiplicity 4)  4 Bi 3.17-3.41



Record 4
Entry from Alexandria: Ta2VCr after structural relaxation (PBE).

## Properties
DOS at the Fermi energy: 4.6 states/eV/f.u.
formation enthalpy at 0 K: 695 meV/atom

Cell lengths 6.9615, 6.9615, 5.4411 Å; angles 90.00, 90.00, 90.00 degrees
Last column: nearest neighbours and their distance in Å.
Space group I-42d (No. 122)
Unique sites:
1 Ta 0.2359 0.2500 0.1250 (multiplicity 8)  2 Cr 2.49, 2 V 2.62, 2 Ta 2.73
2 V 0.0000 0.0000 0.5000 (multiplicity 4)  4 Ta 2.62, 2 Cr 2.72
3 Cr 0.0000 0.0000 0.0000 (multiplicity 4)  4 Ta 2.49, 2 V 2.72



Record 5
Entry from Alexandria: LiCd2SeF after structural relaxation (PBE).

## Properties
DOS at the Fermi energy: 0.4 states/eV/f.u.
electronic total energy: -2.279 eV/atom

Cell lengths 4.4755, 4.4755, 5.8038 Å; angles 90.00, 90.00, 90.00 degrees
Last column: nearest neighbours and their distance in Å.
Space group P4/mmm (No. 123)
Unique sites:
1 Li 0.0000 0.0000 0.0000 (multiplicity 1)  4 Se 3.16
2 Cd 0.0000 0.5000 0.5000 (multiplicity 2)  2 F 2.24
3 Se 0.5000 0.5000 0.0000 (multiplicity 1)  2 F 2.90, 4 Li 3.16
4 F 0.5000 0.5000 0.5000 (multiplicity 1)  4 Cd 2.24



Record 6
Entry from Alexandria: NaTh2Se4 after structural relaxation (PBE).

## Properties
DOS at the Fermi energy: 1.2 states/eV/f.u.
energy above the lowest structure with this stoichiometry: 0 meV/atom

Cell lengths 4.2091, 13.8903, 14.3576 Å; angles 90.00, 90.00, 90.00 degrees
Last column: nearest neighbours and their distance in Å.
Space group Cmcm (No. 63)
Unique sites:
1 Na 0.0000 0.1101 0.2500 (multiplicity 4)  6 Se 3.00-3.30
2 Th 0.0000 0.3708 0.0691 (multiplicity 8)  6 Se 2.85-2.98
3 Se 0.0000 0.0000 0.0000 (multiplicity 4)  4 Th 2.94
4 Se 0.0000 0.2716 0.6146 (multiplicity 8)  3 Th 2.96-2.98, 2 Na 3.30
5 Se 0.0000 0.4558 0.2500 (multiplicity 4)  2 Th 2.85, 2 Na 3.00



Record 7
Entry from Alexandria: Rb2TlClF2 after structural relaxation (PBE).

## Properties
DOS at the Fermi energy: 0.0 states/eV/f.u.
electronic total energy: -3.623 eV/atom

Cell lengths 5.0409, 5.0409, 7.2926 Å; angles 90.00, 90.00, 90.00 degrees
Last column: nearest neighbours and their distance in Å.
Space group P4/mmm (No. 123)
Unique sites:
1 Rb 0.0000 0.0000 0.2406 (multiplicity 2)  4 F 3.07
2 Tl 0.5000 0.5000 0.0000 (multiplicity 1)  4 F 2.52
3 Cl 0.5000 0.5000 0.5000 (multiplicity 1)  2 Tl 3.65, 8 Rb 4.04
4 F 0.0000 0.5000 0.0000 (multiplicity 2)  2 Tl 2.52



Record 8
Entry from Alexandria: Sm8GaS6 after structural relaxation (PBE).

## Properties
DOS at the Fermi energy: 11.3 states/eV/f.u.
electronic total energy: -5.888 eV/atom

Cell lengths 10.4216, 10.4216, 4.0362 Å; angles 90.00, 90.00, 120.00 degrees
Last column: nearest neighbours and their distance in Å.
Space group P-3 (No. 147)
Unique sites:
1 Sm 0.0340 0.3320 0.2480 (multiplicity 6)  4 S 2.73-2.95
2 Sm 0.3333 0.6667 0.7506 (multiplicity 2)  6 S 2.83-2.84
3 Ga 0.0000 0.0000 0.0000 (multiplicity 1)  6 Sm 3.45
4 S 0.1355 0.6521 0.2498 (multiplicity 6)  6 Sm 2.73-2.95



Record 9
Entry from Alexandria: NpTcPb2O8 after structural relaxation (PBE).

## Properties
DOS at the Fermi energy: 5.1 states/eV/f.u.
electronic total energy: -7.549 eV/atom

Cell lengths 5.3802, 6.5884, 5.3817 Å; angles 90.00, 90.63, 90.00 degrees
Last column: nearest neighbours and their distance in Å.
Space group P2/m (No. 10)
Unique sites:
1 Np 0.0000 0.0000 0.0000 (multiplicity 1)  6 O 1.99-2.15
2 Tc 0.0000 0.5000 0.0000 (multiplicity 1)  2 O 1.81
3 Pb 0.5000 0.2560 0.5000 (multiplicity 2)  6 O 2.46-2.55
4 O 0.1714 0.2593 0.8301 (multiplicity 4)  1 Tc 2.05, 1 Np 2.15
5 O 0.2374 0.5000 0.2397 (multiplicity 2)  1 Tc 1.81
6 O 0.2623 0.0000 0.2635 (multiplicity 2)  1 Np 1.99



Record 10
Entry from Alexandria: ScBeCr2Pt after structural relaxation (PBE).

## Properties
DOS at the Fermi energy: 5.1 states/eV/f.u.
formation enthalpy at 0 K: 601 meV/atom

Cell lengths 4.8709, 4.8709, 4.2016 Å; angles 90.00, 90.00, 90.00 degrees
Last column: nearest neighbours and their distance in Å.
Space group P4/mmm (No. 123)
Unique sites:
1 Sc 0.0000 0.0000 0.0000 (multiplicity 1)  8 Cr 3.22, 4 Be 3.44
2 Be 0.5000 0.5000 0.0000 (multiplicity 1)  2 Pt 2.10
3 Cr 0.0000 0.5000 0.5000 (multiplicity 2)  2 Pt 2.44
4 Pt 0.5000 0.5000 0.5000 (multiplicity 1)  2 Be 2.10



Record 11
Entry from Alexandria: ZnSiCl2 after structural relaxation (PBE).

## Properties
DOS at the Fermi energy: 0.0 states/eV/f.u.
energy above the lowest structure with this stoichiometry: 216 meV/atom

Cell lengths 3.7748, 3.7748, 31.9703 Å; angles 90.00, 90.00, 120.00 degrees
Last column: nearest neighbours and their distance in Å.
Space group R-3m (No. 166, hexagonal axes)
Unique sites:
1 Zn 0.0000 0.0000 0.0000 (multiplicity 3)  6 Zn 3.77, 2 Cl 3.85
2 Si 0.0000 0.0000 0.5000 (multiplicity 3)  6 Cl 2.63
3 Cl 0.0000 0.0000 0.1204 (multiplicity 6)  3 Si 2.63



Record 12
Entry from Alexandria: ZrSc2RhN after structural relaxation (PBE).

## Properties
DOS at the Fermi energy: 5.0 states/eV/f.u.
electronic total energy: -8.387 eV/atom

Cell lengths 4.2912, 4.2912, 4.5613 Å; angles 90.00, 90.00, 90.00 degrees
Last column: nearest neighbours and their distance in Å.
Space group P4/mmm (No. 123)
Unique sites:
1 Zr 0.0000 0.0000 0.0000 (multiplicity 1)  2 N 2.28
2 Sc 0.0000 0.5000 0.5000 (multiplicity 2)  2 N 2.15
3 Rh 0.5000 0.5000 0.0000 (multiplicity 1)  4 Zr 3.03, 8 Sc 3.13
4 N 0.0000 0.0000 0.5000 (multiplicity 1)  4 Sc 2.15, 2 Zr 2.28